[1]
8
Lattice="6.536 0.000 0.000 -3.268 5.660 0.000 0.000 0.000 5.378" Properties=species:S:1:pos:R:3 comment="PBE-GGA Pu3Zr, relaxed" formation_energy_ev_per_fu=1.064 final_energy_ev_per_atom=-12.620 pbc="T T T"
Pu 0.000 1.909 1.344
Pu -1.614 4.705 1.344
Pu 1.653 0.955 4.033
Pu 1.614 4.705 1.344
Pu 4.882 0.955 4.033
Pu 3.268 3.751 4.033
Zr 0.000 3.773 4.033
Zr 3.268 1.887 1.344

[2]
16
Lattice="9.041 0.000 0.000 0.000 4.562 4.538 0.000 -4.562 4.538" Properties=species:S:1:pos:R:3 comment="PBE-GGA Pu3Zr13, relaxed" formation_energy_ev_per_fu=0.876 final_energy_ev_per_atom=-9.578 pbc="T T T"
Pu 0.000 0.000 0.000
Pu 2.265 0.000 2.315
Pu 6.776 0.000 2.315
Zr 0.000 -2.256 2.300
Zr 0.000 2.256 2.300
Zr 0.000 0.000 4.596
Zr 2.253 0.000 6.847
Zr 2.270 -2.269 4.578
Zr 2.270 2.269 4.578
Zr 4.520 -2.313 2.303
Zr 4.520 0.000 0.112
Zr 4.520 0.000 4.537
Zr 4.520 2.313 2.303
Zr 6.771 -2.269 4.578
Zr 6.771 2.269 4.578
Zr 6.788 0.000 6.847